Here is crystalline BeSb3Pb at its relaxed geometry from Alexandria. Energies are from PBE.

```
data_BeSb3Pb
_space_group_name_H-M_alt 'P m -3 m'
_space_group_IT_number 221
_space_group_name_Hall '-P 4 2 3'
_cell_length_a 5.801
_cell_length_b 5.801
_cell_length_c 5.801
_cell_angle_alpha 90.00
_cell_angle_beta 90.00
_cell_angle_gamma 90.00
loop_
_atom_site_label
_atom_site_fract_x
_atom_site_fract_y
_atom_site_fract_z
Be1 0.000 0.000 0.000
Sb1 0.000 0.500 0.500
Pb1 0.500 0.500 0.500
```

Output
Spin magnetization (Bohr magnetons per cell): 0.0
Density of states at the Fermi level (states/eV/atom): 1.7485
Total DFT energy (no corrections) (eV/atom): -2.482


Here is crystalline BeSb2Pb at its relaxed geometry from Alexandria. Energies are from PBE.

```
data_BeSb2Pb
_space_group_name_H-M_alt 'P 4/m m m'
_space_group_IT_number 123
_space_group_name_Hall '-P 4 2'
_cell_length_a 3.311
_cell_length_b 3.311
_cell_length_c 8.988
_cell_angle_alpha 90.00
_cell_angle_beta 90.00
_cell_angle_gamma 90.00
loop_
_atom_site_label
_atom_site_fract_x
_atom_site_fract_y
_atom_site_fract_z
Be1 0.000 0.000 0.000
Sb1 0.500 0.500 0.174
Pb1 0.000 0.000 0.500
```

Output
Spin magnetization (Bohr magnetons per cell): 0.0
Density of states at the Fermi level (states/eV/atom): 0.6488
Total DFT energy (no corrections) (eV/atom): -3.558


Here is crystalline BeSbPb2 at its relaxed geometry from Alexandria. Energies are from PBE.

```
data_BeSbPb2
_space_group_name_H-M_alt 'I -4 2 d'
_space_group_IT_number 122
_space_group_name_Hall 'I -4 2bw'
_cell_length_a 6.342
_cell_length_b 6.342
_cell_length_c 12.501
_cell_angle_alpha 90.00
_cell_angle_beta 90.00
_cell_angle_gamma 90.00
loop_
_atom_site_label
_atom_site_fract_x
_atom_site_fract_y
_atom_site_fract_z
Be1 0.000 0.000 0.000
Sb1 0.000 0.000 0.500
Pb1 0.186 0.250 0.125
```

Output
Spin magnetization (Bohr magnetons per cell): 0.0
Density of states at the Fermi level (states/eV/atom): 0.8377
Total DFT energy (no corrections) (eV/atom): -3.436


Here is crystalline Be2SbPb2 at its relaxed geometry from Alexandria. Energies are from PBE.

```
data_Be2SbPb2
_space_group_name_H-M_alt 'I 4/m m m'
_space_group_IT_number 139
_space_group_name_Hall '-I 4 2'
_cell_length_a 3.225
_cell_length_b 3.225
_cell_length_c 21.484
_cell_angle_alpha 90.00
_cell_angle_beta 90.00
_cell_angle_gamma 90.00
loop_
_atom_site_label
_atom_site_fract_x
_atom_site_fract_y
_atom_site_fract_z
Be1 0.000 0.500 0.250
Sb1 0.000 0.000 0.000
Pb1 0.000 0.000 0.364
```

Output
Spin magnetization (Bohr magnetons per cell): 0.0
Density of states at the Fermi level (states/eV/atom): 0.4584
Total DFT energy (no corrections) (eV/atom): -3.363


Here is crystalline BeSbPb2 at its relaxed geometry from Alexandria. Energies are from PBE.

```
data_BeSbPb2
_space_group_name_H-M_alt 'I 4/m m m'
_space_group_IT_number 139
_space_group_name_Hall '-I 4 2'
_cell_length_a 4.934
_cell_length_b 4.934
_cell_length_c 8.730
_cell_angle_alpha 90.00
_cell_angle_beta 90.00
_cell_angle_gamma 90.00
loop_
_atom_site_label
_atom_site_fract_x
_atom_site_fract_y
_atom_site_fract_z
Be1 0.000 0.000 0.000
Sb1 0.000 0.000 0.500
Pb1 0.000 0.500 0.250
```

Output
Spin magnetization (Bohr magnetons per cell): 0.0
Density of states at the Fermi level (states/eV/atom): 0.4857
Total DFT energy (no corrections) (eV/atom): -3.271


Here is crystalline BeSbPb at its relaxed geometry from Alexandria. Energies are from PBE.

```
data_BeSbPb
_space_group_name_H-M_alt 'F m m 2'
_space_group_IT_number 42
_space_group_name_Hall 'F 2 -2'
_cell_length_a 4.045
_cell_length_b 5.760
_cell_length_c 12.631
_cell_angle_alpha 90.00
_cell_angle_beta 90.00
_cell_angle_gamma 90.00
loop_
_atom_site_label
_atom_site_fract_x
_atom_site_fract_y
_atom_site_fract_z
Be1 0.000 0.000 0.000
Sb1 0.000 0.000 0.392
Pb1 0.000 0.000 0.649
```

Output
Spin magnetization (Bohr magnetons per cell): 0.0
Density of states at the Fermi level (states/eV/atom): 0.3350
Total DFT energy (no corrections) (eV/atom): -3.500


Here is crystalline BeSbPb2 at its relaxed geometry from Alexandria. Energies are from PBE.

```
data_BeSbPb2
_space_group_name_H-M_alt 'I m m 2'
_space_group_IT_number 44
_cell_length_a 3.880
_cell_length_b 5.718
_cell_length_c 9.555
_cell_angle_alpha 90.00
_cell_angle_beta 90.00
_cell_angle_gamma 90.00
loop_
_space_group_symop_operation_xyz
'x,y,z'
'-x,-y,z'
'-x,y,z'
'x,-y,z'
'x+1/2,y+1/2,z+1/2'
'-x+1/2,-y+1/2,z+1/2'
'-x+1/2,y+1/2,z+1/2'
'x+1/2,-y+1/2,z+1/2'
loop_
_atom_site_label
_atom_site_fract_x
_atom_site_fract_y
_atom_site_fract_z
Be1 0.000 0.000 0.000
Sb1 0.000 0.500 0.345
Pb1 0.000 0.000 0.524
Pb2 0.000 0.500 0.717
```

Output
Spin magnetization (Bohr magnetons per cell): 0.0
Density of states at the Fermi level (states/eV/atom): 0.3778
Total DFT energy (no corrections) (eV/atom): -3.495


Here is crystalline BeSbPb2 at its relaxed geometry from Alexandria. Energies are from PBE.

```
data_BeSbPb2
_space_group_name_H-M_alt 'R -3 m'
_space_group_IT_number 166
_space_group_name_Hall '-R 3 2"'
_cell_length_a 3.6120
_cell_length_b 3.6120
_cell_length_c 27.0986
_cell_angle_alpha 90.00
_cell_angle_beta 90.00
_cell_angle_gamma 120.00
loop_
_atom_site_label
_atom_site_fract_x
_atom_site_fract_y
_atom_site_fract_z
Be1 0.0000 0.0000 0.0000
Sb1 0.0000 0.0000 0.5000
Pb1 0.0000 0.0000 0.2692
```

Output
Spin magnetization (Bohr magnetons per cell): 0.0
Density of states at the Fermi level (states/eV/atom): 0.4096
Total DFT energy (no corrections) (eV/atom): -3.387


Here is crystalline BeSb2Pb at its relaxed geometry from Alexandria. Energies are from PBE.

```
data_BeSb2Pb
_space_group_name_H-M_alt 'I -4 2 d'
_space_group_IT_number 122
_space_group_name_Hall 'I -4 2bw'
_cell_length_a 6.196
_cell_length_b 6.196
_cell_length_c 12.488
_cell_angle_alpha 90.00
_cell_angle_beta 90.00
_cell_angle_gamma 90.00
loop_
_atom_site_label
_atom_site_fract_x
_atom_site_fract_y
_atom_site_fract_z
Be1 0.000 0.000 0.000
Sb1 0.181 0.250 0.125
Pb1 0.000 0.000 0.500
```

Output
Spin magnetization (Bohr magnetons per cell): 0.0
Density of states at the Fermi level (states/eV/atom): 0.0738
Total DFT energy (no corrections) (eV/atom): -3.796


Here is crystalline BeSbPb at its relaxed geometry from Alexandria. Energies are from PBE.

```
data_BeSbPb
_space_group_name_H-M_alt 'F -4 3 m'
_space_group_IT_number 216
_space_group_name_Hall 'F -4 2 3'
_cell_length_a 6.662
_cell_length_b 6.662
_cell_length_c 6.662
_cell_angle_alpha 90.00
_cell_angle_beta 90.00
_cell_angle_gamma 90.00
loop_
_atom_site_label
_atom_site_fract_x
_atom_site_fract_y
_atom_site_fract_z
Be1 0.000 0.000 0.000
Sb1 0.250 0.250 0.750
Pb1 0.250 0.250 0.250
```

Output
Spin magnetization (Bohr magnetons per cell): 0.0
Density of states at the Fermi level (states/eV/atom): 0.3843
Total DFT energy (no corrections) (eV/atom): -3.452


Here is crystalline BeSb2Pb at its relaxed geometry from Alexandria. Energies are from PBE.

```
data_BeSb2Pb
_space_group_name_H-M_alt 'P 4/m m m'
_space_group_IT_number 123
_space_group_name_Hall '-P 4 2'
_cell_length_a 4.795
_cell_length_b 4.795
_cell_length_c 4.406
_cell_angle_alpha 90.00
_cell_angle_beta 90.00
_cell_angle_gamma 90.00
loop_
_atom_site_label
_atom_site_fract_x
_atom_site_fract_y
_atom_site_fract_z
Be1 0.000 0.000 0.000
Sb1 0.000 0.500 0.500
Pb1 0.500 0.500 0.000
```

Output
Spin magnetization (Bohr magnetons per cell): 0.0
Density of states at the Fermi level (states/eV/atom): 0.3848
Total DFT energy (no corrections) (eV/atom): -3.330


Here is crystalline BeSb2Pb at its relaxed geometry from Alexandria. Energies are from PBE.

```
data_BeSb2Pb
_space_group_name_H-M_alt 'P 4 m m'
_space_group_IT_number 99
_cell_length_a 3.763
_cell_length_b 3.763
_cell_length_c 7.633
_cell_angle_alpha 90.00
_cell_angle_beta 90.00
_cell_angle_gamma 90.00
loop_
_space_group_symop_operation_xyz
'x,y,z'
'-y,x,z'
'-x,-y,z'
'y,-x,z'
'-x,y,z'
'y,x,z'
'x,-y,z'
'-y,-x,z'
loop_
_atom_site_label
_atom_site_fract_x
_atom_site_fract_y
_atom_site_fract_z
Be1 0.000 0.000 0.000
Sb1 0.000 0.000 0.678
Sb2 0.500 0.500 0.049
Pb1 0.500 0.500 0.458
```

Output
Spin magnetization (Bohr magnetons per cell): 0.0
Density of states at the Fermi level (states/eV/atom): 0.5125
Total DFT energy (no corrections) (eV/atom): -3.567


Here is crystalline BeSbPb2 at its relaxed geometry from Alexandria. Energies are from PBE.

```
data_BeSbPb2
_space_group_name_H-M_alt 'F m -3 m'
_space_group_IT_number 225
_space_group_name_Hall '-F 4 2 3'
_cell_length_a 7.518
_cell_length_b 7.518
_cell_length_c 7.518
_cell_angle_alpha 90.00
_cell_angle_beta 90.00
_cell_angle_gamma 90.00
loop_
_atom_site_label
_atom_site_fract_x
_atom_site_fract_y
_atom_site_fract_z
Be1 0.000 0.000 0.000
Sb1 0.000 0.000 0.500
Pb1 0.250 0.250 0.250
```

Output
Spin magnetization (Bohr magnetons per cell): 0.0
Density of states at the Fermi level (states/eV/atom): 0.6336
Total DFT energy (no corrections) (eV/atom): -3.241


Here is crystalline BeSb2Pb at its relaxed geometry from Alexandria. Energies are from PBE.

```
data_BeSb2Pb
_space_group_name_H-M_alt 'I -4 m 2'
_space_group_IT_number 119
_space_group_name_Hall 'I -4 -2'
_cell_length_a 4.903
_cell_length_b 4.903
_cell_length_c 8.357
_cell_angle_alpha 90.00
_cell_angle_beta 90.00
_cell_angle_gamma 90.00
loop_
_atom_site_label
_atom_site_fract_x
_atom_site_fract_y
_atom_site_fract_z
Be1 0.000 0.000 0.000
Sb1 0.000 0.000 0.500
Sb2 0.000 0.500 0.250
Pb1 0.000 0.500 0.750
```

Output
Spin magnetization (Bohr magnetons per cell): 0.0
Density of states at the Fermi level (states/eV/atom): 0.4224
Total DFT energy (no corrections) (eV/atom): -3.334


Here is crystalline BeSb2Pb at its relaxed geometry from Alexandria. Energies are from PBE.

```
data_BeSb2Pb
_space_group_name_H-M_alt 'P 1 m 1'
_space_group_IT_number 6
_cell_length_a 4.848
_cell_length_b 3.959
_cell_length_c 5.810
_cell_angle_alpha 90.00
_cell_angle_beta 104.39
_cell_angle_gamma 90.00
loop_
_space_group_symop_operation_xyz
'x,y,z'
'x,-y,z'
loop_
_atom_site_label
_atom_site_fract_x
_atom_site_fract_y
_atom_site_fract_z
Be1 0.000 0.000 0.000
Sb1 0.082 0.500 0.261
Sb2 0.804 0.000 0.572
Pb1 0.481 0.500 0.857
```

Output
Spin magnetization (Bohr magnetons per cell): 0.0
Density of states at the Fermi level (states/eV/atom): 0.5184
Total DFT energy (no corrections) (eV/atom): -3.624